[1]
A relaxed Hg3TeAu crystal. Source: Alexandria, functional PBE-GGA.

Structure (POSCAR):
```
Hg3TeAu
1.0
-0.946 -4.173 3.858
-0.346 -3.862 -4.261
5.673 -0.931 0.384
Au Hg Te
1 3 1
Cartesian
2.191 -4.483 -0.010 Au
-0.173 -1.931 -2.131 Hg
2.836 -0.465 0.192 Hg
-0.473 -2.086 1.929 Hg
0.000 0.000 0.000 Te
```

Output
Uncorrected formation energy = 0.446 eV per atom
Total magnetic moment = 0.0 μB per cell
Crystal system = cubic
Theoretical density = 8.0 g/cm3
Relative energy among the computed polymorphs = 0.218 eV/atom

***

[2]
A relaxed Hg2TeAu crystal. Source: Alexandria, functional PBE-GGA.

Structure (POSCAR):
```
Hg2TeAu
1.0
-6.609 1.267 3.349
-7.493 -0.586 -0.082
1.105 -3.499 1.605
Hg Te Au
2 1 1
Cartesian
-12.548 -2.749 4.718 Hg
-6.947 -1.479 2.589 Hg
-9.747 -2.114 3.653 Te
-3.249 -0.705 1.218 Au
```

Output
Uncorrected formation energy = 0.029 eV per atom
Total magnetic moment = 0.0 μB per cell
Crystal system = monoclinic
Theoretical density = 10.6 g/cm3

***

[3]
A relaxed HgTe2Au2 crystal. Source: Alexandria, functional PBE-GGA.

Structure (POSCAR):
```
HgTe2Au2
1.0
7.770 0.000 0.000
0.000 7.770 0.000
0.000 0.000 4.002
Au Te Hg
4 4 2
Cartesian
1.004 2.881 0.000 Au
2.881 6.766 0.000 Au
4.888 1.004 0.000 Au
6.766 4.888 0.000 Au
2.482 1.403 2.001 Te
1.403 5.288 2.001 Te
6.367 2.482 2.001 Te
5.288 6.367 2.001 Te
0.000 0.000 0.000 Hg
3.885 3.885 0.000 Hg
```

Output
Uncorrected formation energy = 0.184 eV per atom
Total magnetic moment = 0.0 μB per cell
Crystal system = tetragonal
Theoretical density = 11.7 g/cm3

***

[4]
A relaxed HgTeAu crystal. Source: Alexandria, functional PBE-GGA.

Structure (POSCAR):
```
HgTeAu
1.0
-6.195 0.178 2.918
-2.669 -1.155 6.203
4.207 2.978 -4.513
Te Au Hg
1 1 1
Cartesian
-5.737 -0.633 5.903 Te
-8.840 -0.975 9.095 Au
-3.152 -0.348 3.243 Hg
```

Output
Uncorrected formation energy = 0.198 eV per atom
Total magnetic moment = 0.0 μB per cell
Crystal system = orthorhombic
Theoretical density = 11.5 g/cm3
Relative energy among the computed polymorphs = 0.213 eV/atom

***

[5]
A relaxed HgTe2Au2 crystal. Source: Alexandria, functional PBE-GGA.

Structure (POSCAR):
```
HgTe2Au2
1.0
4.176 0.000 0.000
0.000 4.176 0.000
2.088 2.088 7.803
Au Te Hg
2 2 1
Cartesian
2.088 4.176 3.902 Au
4.176 2.088 3.902 Au
2.088 2.088 1.971 Te
4.176 4.176 5.833 Te
0.000 0.000 0.000 Hg
```

Output
Uncorrected formation energy = 0.064 eV per atom
Total magnetic moment = 0.0 μB per cell
Crystal system = tetragonal
Theoretical density = 10.4 g/cm3

***

[6]
A relaxed Hg2TeAu crystal. Source: Alexandria, functional PBE-GGA.

Structure (POSCAR):
```
Hg2TeAu
1.0
-4.514 2.853 -0.345
-3.433 -3.835 -1.463
3.304 -0.169 4.206
Hg Te Au
2 1 1
Cartesian
-2.051 -2.248 0.920 Hg
0.000 0.000 0.000 Hg
-3.973 -0.491 -0.904 Te
-2.592 1.096 1.479 Au
```

Output
Uncorrected formation energy = 0.209 eV per atom
Total magnetic moment = 0.0 μB per cell
Crystal system = tetragonal
Theoretical density = 12.5 g/cm3

***

[7]
A relaxed Hg2TeAu crystal. Source: Alexandria, functional PBE-GGA.

Structure (POSCAR):
```
Hg2TeAu
1.0
3.217 0.000 0.000
0.000 3.217 0.000
0.000 0.000 9.861
Te Hg Au
1 2 1
Cartesian
0.000 0.000 5.344 Te
0.000 0.000 9.551 Hg
1.609 1.609 2.231 Hg
1.609 1.609 7.528 Au
```

Output
Uncorrected formation energy = 0.186 eV per atom
Total magnetic moment = 0.0 μB per cell
Crystal system = tetragonal
Theoretical density = 11.8 g/cm3

***

[8]
A relaxed Hg2TeAu crystal. Source: Alexandria, functional PBE-GGA.

Structure (POSCAR):
```
Hg2TeAu
1.0
3.551 -0.020 0.000
-1.234 3.330 0.000
0.000 0.000 8.820
Te Hg Au
1 2 1
Cartesian
0.000 0.000 4.683 Te
0.000 0.000 8.637 Hg
1.158 1.655 2.114 Hg
1.158 1.655 6.615 Au
```

Output
Uncorrected formation energy = 0.155 eV per atom
Total magnetic moment = 0.0 μB per cell
Crystal system = orthorhombic
Theoretical density = 11.6 g/cm3

***

[9]
A relaxed HgTeAu crystal. Source: Alexandria, functional PBE-GGA.

Structure (POSCAR):
```
HgTeAu
1.0
-2.949 4.034 5.619
-2.187 -0.151 7.193
4.651 -1.319 -5.759
Au Te Hg
1 1 1
Cartesian
-5.117 3.868 12.762 Au
-3.340 2.525 8.332 Te
-1.816 1.373 4.529 Hg
```

Output
Uncorrected formation energy = 0.248 eV per atom
Total magnetic moment = 0.0 μB per cell
Crystal system = tetragonal
Theoretical density = 11.8 g/cm3
Relative energy among the computed polymorphs = 0.263 eV/atom

***

[10]
A relaxed Hg3Te4Au crystal. Source: Alexandria, functional PBE-GGA.

Structure (POSCAR):
```
Hg3Te4Au
1.0
7.649 0.000 0.000
0.000 7.977 0.000
0.000 0.000 9.205
Hg Te Au
6 8 2
Cartesian
0.004 1.328 4.602 Hg
3.819 2.656 6.905 Hg
7.644 5.321 2.303 Hg
3.829 6.649 0.000 Hg
7.644 5.321 6.902 Hg
3.819 2.656 2.299 Hg
4.915 1.335 0.000 Te
4.775 5.363 2.388 Te
4.779 1.231 4.602 Te
0.954 6.746 0.000 Te
4.775 5.363 6.817 Te
1.091 6.642 4.602 Te
0.951 2.614 2.214 Te
0.951 2.614 6.990 Te
3.826 6.653 4.602 Au
0.001 1.324 0.000 Au
```

Output
Uncorrected formation energy = -0.100 eV per atom
Total magnetic moment = 0.0 μB per cell
Crystal system = orthorhombic
Theoretical density = 7.7 g/cm3

***

[11]
A relaxed HgTe6Au2 crystal. Source: Alexandria, functional PBE-GGA.

Structure (POSCAR):
```
HgTe6Au2
1.0
-3.409 6.016 -4.408
-6.791 5.042 4.828
1.146 8.853 3.892
Te Hg Au
12 2 4
Cartesian
-7.658 14.801 3.660 Te
-9.296 12.487 1.603 Te
-7.068 7.740 1.165 Te
-3.585 6.048 3.494 Te
-5.469 13.864 0.818 Te
-1.396 5.111 0.652 Te
-1.985 12.172 3.147 Te
-4.376 12.550 5.678 Te
-5.520 10.013 3.229 Te
0.243 7.424 2.708 Te
-4.678 7.361 -1.366 Te
-3.533 9.899 1.082 Te
-9.226 9.612 1.507 Hg
0.173 10.299 2.804 Hg
-3.107 7.217 0.983 Au
-5.947 12.694 3.328 Au
-5.202 10.038 -1.175 Au
-3.852 9.874 5.486 Au
```

Output
Uncorrected formation energy = -0.015 eV per atom
Total magnetic moment = 0.0 μB per cell
Crystal system = monoclinic
Theoretical density = 8.0 g/cm3

***

[12]
A relaxed Hg2TeAu2 crystal. Source: Alexandria, functional PBE-GGA.

Structure (POSCAR):
```
Hg2TeAu2
1.0
-0.042 3.839 -1.499
-2.870 -1.103 -2.744
-6.415 3.071 2.380
Au Hg Te
2 2 1
Cartesian
-2.428 1.701 -1.240 Au
-6.900 4.105 -0.623 Au
-5.371 1.668 -1.243 Hg
-3.957 4.139 -0.620 Hg
0.000 0.000 0.000 Te
```

Output
Uncorrected formation energy = 0.145 eV per atom
Total magnetic moment = 0.0 μB per cell
Crystal system = tetragonal
Theoretical density = 13.1 g/cm3
Relative energy among the computed polymorphs = 0.021 eV/atom

***

[13]
A relaxed Hg3Te8Au3 crystal. Source: Alexandria, functional PBE-GGA.

Structure (POSCAR):
```
Hg3Te8Au3
1.0
7.433 -0.006 4.257
2.465 7.013 4.257
-0.009 -0.006 8.566
Hg Te Au
3 8 3
Cartesian
0.000 0.000 0.000 Hg
3.775 2.672 6.521 Hg
6.114 4.328 10.560 Hg
2.432 1.721 8.909 Te
6.100 1.428 10.536 Te
7.459 5.280 12.883 Te
3.789 5.572 6.545 Te
2.430 1.720 4.198 Te
6.515 1.721 6.545 Te
7.457 5.278 8.172 Te
3.374 5.278 10.536 Te
1.232 3.506 2.129 Au
3.717 -0.003 2.129 Au
-0.005 -0.003 4.283 Au
```

Output
Uncorrected formation energy = 0.036 eV per atom
Total magnetic moment = 0.0 μB per cell
Crystal system = trigonal
Theoretical density = 8.2 g/cm3

***

[14]
A relaxed Hg3Te4Au2 crystal. Source: Alexandria, functional PBE-GGA.

Structure (POSCAR):
```
Hg3Te4Au2
1.0
-7.844 2.311 -2.836
-3.938 -2.366 7.129
0.508 7.855 3.158
Hg Au Te
6 4 8
Cartesian
-7.999 -0.164 3.360 Hg
-7.076 5.678 2.550 Hg
-3.275 7.964 4.091 Hg
-10.410 1.733 5.543 Hg
-0.864 6.067 1.908 Hg
-4.198 2.122 4.901 Hg
-4.396 4.360 1.866 Au
-9.436 2.945 1.447 Au
-6.878 3.440 5.585 Au
-1.838 4.855 6.004 Au
-2.868 2.736 7.210 Te
-3.613 6.840 1.445 Te
-7.661 0.960 6.006 Te
-0.683 6.829 4.695 Te
-5.337 1.949 2.421 Te
-10.591 0.971 2.756 Te
-8.406 5.064 0.241 Te
-5.938 5.851 5.030 Te
```

Output
Uncorrected formation energy = -0.062 eV per atom
Total magnetic moment = 0.0 μB per cell
Crystal system = monoclinic
Theoretical density = 8.1 g/cm3

***

[15]
A relaxed HgTe5Au4 crystal. Source: Alexandria, functional PBE-GGA.

Structure (POSCAR):
```
HgTe5Au4
1.0
-0.909 1.889 5.082
-5.804 -5.675 1.072
9.049 -8.361 4.727
Te Au Hg
10 8 2
Cartesian
1.766 -6.315 7.111 Te
0.571 -5.832 3.769 Te
-5.209 -5.909 2.764 Te
-2.361 -3.123 2.238 Te
-0.041 -1.736 6.219 Te
4.614 -3.530 6.585 Te
4.698 -9.024 8.642 Te
2.378 -10.411 4.662 Te
-2.278 -8.617 4.295 Te
7.546 -6.238 8.116 Te
2.629 -4.675 5.120 Au
1.460 -1.335 4.053 Au
-4.816 -3.293 3.397 Au
-0.845 -3.589 4.479 Au
3.182 -8.558 6.402 Au
0.877 -10.812 6.827 Au
-0.292 -7.472 5.760 Au
7.153 -8.854 7.483 Au
5.207 -7.422 4.534 Hg
-2.870 -4.725 6.347 Hg
```

Output
Uncorrected formation energy = -0.005 eV per atom
Total magnetic moment = 0.0 μB per cell
Crystal system = orthorhombic
Theoretical density = 9.1 g/cm3

***

[16]
A relaxed Hg2TeAu crystal. Source: Alexandria, functional PBE-GGA.

Structure (POSCAR):
```
Hg2TeAu
1.0
3.167 0.368 0.000
-0.415 3.161 0.000
0.000 0.000 9.882
Au Hg Te
1 2 1
Cartesian
1.376 1.764 7.411 Au
0.000 0.000 9.456 Hg
0.000 0.000 5.366 Hg
1.376 1.764 2.470 Te
```

Output
Uncorrected formation energy = 0.184 eV per atom
Total magnetic moment = 0.0 μB per cell
Crystal system = orthorhombic
Theoretical density = 12.0 g/cm3

***

[17]
A relaxed HgTeAu crystal. Source: Alexandria, functional PBE-GGA.

Structure (POSCAR):
```
HgTeAu
1.0
-4.170 -4.903 2.944
-3.092 -5.985 -0.278
1.753 -1.701 2.598
Te Hg Au
1 1 1
Cartesian
-4.144 -7.710 2.642 Te
-1.361 -4.874 2.621 Hg
1.748 -1.705 2.598 Au
```

Output
Uncorrected formation energy = 0.196 eV per atom
Total magnetic moment = 0.0 μB per cell
Crystal system = orthorhombic
Theoretical density = 11.4 g/cm3
Relative energy among the computed polymorphs = 0.211 eV/atom

***

[18]
A relaxed HgTe2Au2 crystal. Source: Alexandria, functional PBE-GGA.

Structure (POSCAR):
```
HgTe2Au2
1.0
-4.045 7.114 -1.026
0.991 -0.615 -8.165
-3.255 -1.887 -0.253
Te Au Hg
4 4 2
Cartesian
-0.496 1.215 -2.677 Te
-2.558 5.284 -6.514 Te
-0.430 1.662 -6.868 Te
-2.624 4.837 -2.323 Te
-4.819 5.099 -4.156 Au
-3.059 1.705 -1.478 Au
-1.491 -0.488 -5.288 Au
-3.251 2.906 -7.966 Au
-1.527 3.249 -4.595 Hg
0.000 0.000 0.000 Hg
```

Output
Uncorrected formation energy = 0.163 eV per atom
Total magnetic moment = 0.0 μB per cell
Crystal system = tetragonal
Theoretical density = 11.0 g/cm3

***

[19]
A relaxed Hg2TeAu crystal. Source: Alexandria, functional PBE-GGA.

Structure (POSCAR):
```
Hg2TeAu
1.0
4.528 0.000 0.000
0.000 4.959 -0.014
0.000 1.378 4.783
Hg Au Te
2 1 1
Cartesian
0.000 6.181 4.651 Hg
2.264 1.541 1.161 Hg
2.264 4.695 3.534 Au
0.000 3.425 2.576 Te
```

Output
Uncorrected formation energy = 0.032 eV per atom
Total magnetic moment = 0.0 μB per cell
Crystal system = monoclinic
Theoretical density = 11.2 g/cm3

***

[20]
A relaxed HgTeAu3 crystal. Source: Alexandria, functional PBE-GGA.

Structure (POSCAR):
```
HgTeAu3
1.0
5.346 0.000 0.000
0.000 5.346 0.000
0.000 0.000 5.346
Au Hg Te
3 1 1
Cartesian
2.673 0.000 0.000 Au
0.000 0.000 2.673 Au
0.000 2.673 0.000 Au
2.673 2.673 2.673 Hg
0.000 0.000 0.000 Te
```

Output
Uncorrected formation energy = 0.363 eV per atom
Total magnetic moment = 0.0 μB per cell
Crystal system = cubic
Theoretical density = 10.0 g/cm3
Relative energy among the computed polymorphs = 0.000 eV/atom

***

[21]
A relaxed Hg2TeAu crystal. Source: Alexandria, functional PBE-GGA.

Structure (POSCAR):
```
Hg2TeAu
1.0
4.314 0.000 0.000
0.000 5.196 -0.035
0.000 1.637 4.654
Hg Au Te
2 1 1
Cartesian
0.000 6.711 4.534 Hg
0.000 3.538 2.395 Hg
2.157 5.125 3.465 Au
2.157 1.708 1.155 Te
```

Output
Uncorrected formation energy = 0.047 eV per atom
Total magnetic moment = 0.0 μB per cell
Crystal system = monoclinic
Theoretical density = 11.5 g/cm3

***

[22]
A relaxed HgTeAu crystal. Source: Alexandria, functional PBE-GGA.

Structure (POSCAR):
```
HgTeAu
1.0
4.836 0.000 0.000
2.418 4.188 0.000
2.418 1.396 3.949
Au Hg Te
1 1 1
Cartesian
7.254 4.188 2.962 Au
0.000 0.000 0.000 Hg
4.836 2.792 1.974 Te
```

Output
Uncorrected formation energy = 0.065 eV per atom
Total magnetic moment = 0.0 μB per cell
Crystal system = cubic
Theoretical density = 10.9 g/cm3
Relative energy among the computed polymorphs = 0.079 eV/atom

***

[23]
A relaxed Hg4TeAu crystal. Source: Alexandria, functional PBE-GGA.

Structure (POSCAR):
```
Hg4TeAu
1.0
0.000 4.253 4.253
4.253 0.000 4.253
4.253 4.253 0.000
Hg Te Au
4 1 1
Cartesian
5.317 5.317 3.189 Hg
5.317 3.189 5.317 Hg
3.189 5.317 5.317 Hg
3.189 3.189 3.189 Hg
6.379 6.379 6.379 Te
0.000 0.000 0.000 Au
```

Output
Uncorrected formation energy = 0.369 eV per atom
Total magnetic moment = 0.0 μB per cell
Crystal system = cubic
Theoretical density = 12.2 g/cm3

***

[24]
A relaxed HgTeAu crystal. Source: Alexandria, functional PBE-GGA.

Structure (POSCAR):
```
HgTeAu
1.0
4.423 0.000 0.000
-2.212 3.831 0.000
0.000 0.000 4.642
Hg Te Au
1 1 1
Cartesian
2.212 1.277 1.411 Hg
0.000 2.554 3.367 Te
0.000 0.000 4.505 Au
```

Output
Uncorrected formation energy = 0.041 eV per atom
Total magnetic moment = 0.0 μB per cell
Crystal system = trigonal
Theoretical density = 11.1 g/cm3
Relative energy among the computed polymorphs = 0.055 eV/atom

***

[25]
A relaxed Hg2TeAu crystal. Source: Alexandria, functional PBE-GGA.

Structure (POSCAR):
```
Hg2TeAu
1.0
7.044 -0.067 -0.017
-4.885 5.075 -0.017
0.008 0.018 3.172
Hg Te Au
2 1 1
Cartesian
0.000 0.000 0.000 Hg
1.080 2.504 -0.017 Hg
3.526 -0.025 1.578 Te
-2.439 2.547 1.578 Au
```

Output
Uncorrected formation energy = 0.135 eV per atom
Total magnetic moment = 0.0 μB per cell
Crystal system = orthorhombic
Theoretical density = 10.7 g/cm3

***

[26]
A relaxed HgTeAu crystal. Source: Alexandria, functional PBE-GGA.

Structure (POSCAR):
```
HgTeAu
1.0
-2.533 -4.443 -1.106
3.243 -3.700 -1.779
0.085 3.138 4.186
Au Hg Te
1 1 1
Cartesian
0.001 -0.013 -0.005 Au
0.234 -2.684 -0.951 Hg
0.475 -5.445 -1.929 Te
```

Output
Uncorrected formation energy = 0.217 eV per atom
Total magnetic moment = 0.0 μB per cell
Crystal system = tetragonal
Theoretical density = 11.7 g/cm3
Relative energy among the computed polymorphs = 0.231 eV/atom